# 1
Density functional theory data (PBE) for a relaxed Cs3PbO4 crystal.

Computed properties:
* density: 4.66 g/cm3
* total energy: -4.25 eV per atom
* formation energy (no corrections): -984.8 meV/atom
* offset from the most stable computed form: 0.0 meV per atom

Cell lengths 6.8988, 6.8988, 6.8988 Å; angles 93.65, 116.64, 119.21 degrees
Closest atoms and distances in Å follow each position.
Fractional positions:
O: 0.1607 0.6893 0.8500  1 Pb 2.09
Cs: 0.5365 0.2328 0.7693  3 O 2.82-3.14
O: 0.1607 0.3107 0.4714  1 Pb 2.09
Cs: 0.5365 0.7672 0.3036  3 O 2.82-3.14
Pb: 0.0101 0.5000 0.5101  4 O 2.09
O: 0.5994 0.2526 0.3469  1 Pb 2.09
O: 0.0943 0.7474 0.3469  1 Pb 2.09
Cs: 0.0527 0.0000 0.0527  4 O 2.77-3.04

# 2
Density functional theory data (PBE) for a relaxed CsPb2O4 crystal.

Computed properties:
* density: 6.83 g/cm3
* total energy: -5.04 eV per atom
* formation energy (no corrections): -1029.8 meV/atom

Cell lengths 6.9211, 8.2085, 8.2042 Å; angles 130.12, 114.91, 90.04 degrees
Closest atoms and distances in Å follow each position.
Fractional positions:
Pb: 0.5875 0.4124 0.1755  3 O 2.23
Cs: 0.9933 0.0067 0.9861  4 O 2.78-3.10
Cs: 0.2623 0.7377 0.5251  4 O 2.85-3.08
O: 0.4057 0.5944 0.8109  3 Pb 2.32
O: 0.3794 0.2025 0.7591  3 Pb 2.23-2.31
O: 0.8487 0.1513 0.6976  3 Pb 2.32
O: 0.8961 0.1040 0.3298  2 Pb 2.16
Pb: 0.6273 0.3727 0.7428  6 O 2.16-2.32
Pb: 0.1156 0.3728 0.7428  6 O 2.16-2.32
O: 0.3795 0.6205 0.1771  3 Pb 2.23-2.31
O: 0.7974 0.6206 0.1771  3 Pb 2.23-2.31
Pb: 0.6273 0.8844 0.2545  6 O 2.16-2.32
O: 0.4340 0.1039 0.3297  2 Pb 2.16
O: 0.8961 0.5660 0.7919  2 Pb 2.16

# 3
Density functional theory data (PBE) for a relaxed Cs2Pb2O5 crystal.

Computed properties:
* density: 6.11 g/cm3
* total energy: -4.79 eV per atom
* formation energy (no corrections): -1024.8 meV/atom

Cell lengths 4.2228, 6.6577, 7.8442 Å; angles 98.48, 90.00, 108.49 degrees
Closest atoms and distances in Å follow each position.
Fractional positions:
O: 0.3193 0.6385 0.0074  3 Pb 2.23-2.26
O: 0.0000 0.0000 0.0000  2 Pb 2.12
Pb: 0.8547 0.7094 0.1031  5 O 2.03-2.26
Cs: 0.6060 0.2120 0.3588  3 O 3.01-3.16
O: 0.1259 0.2519 0.6352  1 Pb 2.03
Pb: 0.1453 0.2906 0.8969  5 O 2.03-2.26
O: 0.8741 0.7481 0.3648  1 Pb 2.03
Cs: 0.3940 0.7880 0.6412  3 O 3.01-3.16
O: 0.6807 0.3615 0.9926  3 Pb 2.23-2.26

# 4
Density functional theory data (PBE) for a relaxed Cs3PbO3 crystal.

Computed properties:
* density: 4.63 g/cm3
* total energy: -4.04 eV per atom
* formation energy (no corrections): -1023.3 meV/atom

Cell lengths 6.4294, 9.1744, 9.1740 Å; angles 119.91, 90.00, 90.00 degrees
Closest atoms and distances in Å follow each position.
Fractional positions:
O: 0.2500 0.3941 0.1973  1 Pb 2.17
O: 0.2500 0.8035 0.6060  1 Pb 2.17
Cs: 0.2500 0.6545 0.8268  4 O 2.95-3.24
O: 0.2500 0.8031 0.1961  1 Pb 2.17
O: 0.7500 0.1969 0.8039  1 Pb 2.17
Cs: 0.7500 0.8274 0.1718  4 O 2.96-3.24
Cs: 0.7500 0.3455 0.1732  4 O 2.95-3.24
Cs: 0.2500 0.1724 0.3455  4 O 2.95-3.24
O: 0.7500 0.6059 0.8027  1 Pb 2.17
Cs: 0.7500 0.8276 0.6545  4 O 2.95-3.24
Pb: 0.2500 0.6669 0.3332  3 O 2.17
Pb: 0.7500 0.3331 0.6668  3 O 2.17
O: 0.7500 0.1965 0.3940  1 Pb 2.17
Cs: 0.2500 0.1726 0.8282  4 O 2.96-3.24

# 5
Density functional theory data (PBE) for a relaxed Cs2PbO2 crystal.

Computed properties:
* density: 4.49 g/cm3
* total energy: -4.20 eV per atom
* formation energy (no corrections): -1129.7 meV/atom
* offset from the most stable computed form: 94.6 meV per atom

Cell lengths 4.7796, 7.6411, 11.0238 Å; angles 101.53, 90.00, 108.23 degrees
Closest atoms and distances in Å follow each position.
Fractional positions:
Pb: 0.6392 0.2783 0.1840  2 O 2.10
Pb: 0.3608 0.7217 0.8160  2 O 2.10
O: 0.4740 0.9481 0.7248  1 Pb 2.10
Cs: 0.9114 0.8228 0.1842  3 O 2.96-3.01
Cs: 0.0886 0.1772 0.8158  3 O 2.96-3.01
O: 0.7581 0.5161 0.3300  1 Pb 2.10
O: 0.2419 0.4839 0.6700  1 Pb 2.10
Cs: 0.6450 0.2901 0.5364  4 O 3.00-3.07
Cs: 0.3550 0.7099 0.4636  4 O 3.00-3.07
O: 0.5260 0.0519 0.2752  1 Pb 2.10

# 6
Density functional theory data (PBE) for a relaxed Cs3PbO4 crystal.

Computed properties:
* density: 4.68 g/cm3
* total energy: -4.19 eV per atom
* formation energy (no corrections): -930.4 meV/atom
* offset from the most stable computed form: 54.4 meV per atom

Cell lengths 6.5329, 7.0354, 7.0354 Å; angles 60.57, 62.43, 62.43 degrees
Closest atoms and distances in Å follow each position.
Fractional positions:
Cs: 0.0000 0.0817 0.9183  2 O 2.79
Pb: 0.5000 0.5713 0.4287  4 O 2.17-2.38
O: 0.2952 0.8684 0.5337  1 Pb 2.17
O: 0.6147 0.2532 0.7478  1 O 1.51
O: 0.7048 0.4663 0.1316  1 Pb 2.17
O: 0.3853 0.2522 0.7468  1 O 1.51
Cs: 0.7513 0.8287 0.6708  3 O 2.94-2.96
Cs: 0.2487 0.3292 0.1713  3 O 2.94-2.96

Copy entry 2 word for word.
Density functional theory data (PBE) for a relaxed CsPb2O4 crystal.

Computed properties:
* density: 6.83 g/cm3
* total energy: -5.04 eV per atom
* formation energy (no corrections): -1029.8 meV/atom

Cell lengths 6.9211, 8.2085, 8.2042 Å; angles 130.12, 114.91, 90.04 degrees
Closest atoms and distances in Å follow each position.
Fractional positions:
Pb: 0.5875 0.4124 0.1755  3 O 2.23
Cs: 0.9933 0.0067 0.9861  4 O 2.78-3.10
Cs: 0.2623 0.7377 0.5251  4 O 2.85-3.08
O: 0.4057 0.5944 0.8109  3 Pb 2.32
O: 0.3794 0.2025 0.7591  3 Pb 2.23-2.31
O: 0.8487 0.1513 0.6976  3 Pb 2.32
O: 0.8961 0.1040 0.3298  2 Pb 2.16
Pb: 0.6273 0.3727 0.7428  6 O 2.16-2.32
Pb: 0.1156 0.3728 0.7428  6 O 2.16-2.32
O: 0.3795 0.6205 0.1771  3 Pb 2.23-2.31
O: 0.7974 0.6206 0.1771  3 Pb 2.23-2.31
Pb: 0.6273 0.8844 0.2545  6 O 2.16-2.32
O: 0.4340 0.1039 0.3297  2 Pb 2.16
O: 0.8961 0.5660 0.7919  2 Pb 2.16

Question: What is the formation energy (no corrections) in the third record?
Answer: -1024.8 meV/atom

Question: Among the records above, which one has the lowest total energy?
Answer: CsPb2O4